Record 1
# GGA-PBE AcPrSbO5, relaxed
# * symmetry: C2/c (15)
# * D(E_F): 4.8 states/eV per cell
data_AcPrSbO5
_cell_length_a 6.438
_cell_length_b 6.438
_cell_length_c 8.420
_cell_angle_alpha 106.76
_cell_angle_beta 106.76
_cell_angle_gamma 103.14
_symmetry_space_group_name_H-M 'P 1'
_symmetry_Int_Tables_number 1
_symmetry_space_group_name_Hall 'P 1'
loop_
_atom_site_label
_atom_site_type_symbol
_atom_site_fract_x
_atom_site_fract_y
_atom_site_fract_z
_atom_site_occupancy
Ac1 Ac 0.181 0.819 0.750 1
Ac2 Ac 0.819 0.181 0.250 1
Pr1 Pr 0.500 0.500 0.000 1
Pr2 Pr 0.500 0.500 0.500 1
Sb1 Sb 0.187 0.813 0.250 1
Sb2 Sb 0.813 0.187 0.750 1
O1 O 0.122 0.226 0.907 1
O2 O 0.151 0.613 0.404 1
O3 O 0.226 0.122 0.407 1
O4 O 0.387 0.849 0.096 1
O5 O 0.408 0.592 0.750 1
O6 O 0.592 0.408 0.250 1
O7 O 0.613 0.151 0.904 1
O8 O 0.774 0.878 0.593 1
O9 O 0.849 0.387 0.596 1
O10 O 0.878 0.774 0.093 1

Record 2
# GGA-PBE Ac2PrScO6, relaxed
# * symmetry: P2_1/c (14)
# * D(E_F): 0.0 states/eV per cell
data_Ac2PrScO6
_cell_length_a 6.005
_cell_length_b 6.194
_cell_length_c 10.479
_cell_angle_alpha 90.00
_cell_angle_beta 124.36
_cell_angle_gamma 90.00
_symmetry_space_group_name_H-M 'P 1'
_symmetry_Int_Tables_number 1
_symmetry_space_group_name_Hall 'P 1'
loop_
_atom_site_label
_atom_site_type_symbol
_atom_site_fract_x
_atom_site_fract_y
_atom_site_fract_z
_atom_site_occupancy
Ac1 Ac 0.236 0.048 0.251 1
Ac2 Ac 0.236 0.452 0.751 1
Ac3 Ac 0.764 0.548 0.249 1
Ac4 Ac 0.764 0.952 0.749 1
Pr1 Pr 0.500 0.000 0.000 1
Pr2 Pr 0.500 0.500 0.500 1
Sc1 Sc 0.000 0.000 0.500 1
Sc2 Sc 0.000 0.500 0.000 1
O1 O 0.119 0.213 0.934 1
O2 O 0.119 0.287 0.434 1
O3 O 0.226 0.688 0.940 1
O4 O 0.226 0.812 0.440 1
O5 O 0.351 0.050 0.735 1
O6 O 0.351 0.450 0.235 1
O7 O 0.649 0.550 0.765 1
O8 O 0.649 0.950 0.265 1
O9 O 0.774 0.188 0.560 1
O10 O 0.774 0.312 0.060 1
O11 O 0.881 0.713 0.566 1
O12 O 0.881 0.787 0.066 1

The evaluated formation energy without anion corrections for the records listed, in turn: -2458, -3348 meV per atom.